A geometry-optimized Sm2Dy2CBr2Cl3 structure. Source: the Open Quantum Materials Database, functional PBE-GGA.

Calculated density = 5.896 Mg/m³
Offset from the most stable computed form = 0.002 eV/atom

a b c (Å): 9.077 9.077 7.856
angles (deg): 103.51 103.51 23.89
Fractional positions:
C (0.500, 0.500, 0.000)
Cl (0.156, 0.156, 0.349)
Cl (0.500, 0.500, 0.500)
Dy (0.000, 0.000, 0.210)
Br (0.831, 0.831, 0.187)
Br (0.169, 0.169, 0.813)
Sm (0.357, 0.357, 0.916)
Sm (0.643, 0.643, 0.084)
Cl (0.844, 0.844, 0.651)
Dy (0.000, 0.000, 0.790)